# LiAcCoF6

LiAcCoF6 after structural relaxation (GGA+U, Alexandria).

Uncorrected energy (eV per cell): -100.38

```
data_LiAcCoF6
_symmetry_space_group_name_H-M 'P -3 1 c'
_symmetry_Int_Tables_number 163
_symmetry_space_group_name_Hall '-P 3 2c'
_cell_length_a 5.8431
_cell_length_b 5.8431
_cell_length_c 8.5929
_cell_angle_alpha 90.00
_cell_angle_beta 90.00
_cell_angle_gamma 120.00
loop_
_atom_site_label
_atom_site_type_symbol
_atom_site_fract_x
_atom_site_fract_y
_atom_site_fract_z
Li1 Li 0.0000 0.0000 0.0000
Ac1 Ac 0.3333 0.6667 0.2500
Co1 Co 0.3333 0.6667 0.7500
F1 F 0.0506 0.3555 0.6208
```